TmThP2: optimized geometry, PBE-GGA.

Output
Mass density   8.08 g/cm3
Raw total energy   -28.402 eV per formula unit
Total magnetic moment   0.6 μB per cell
Energy of formation from the pure elements   -1.42 eV per atom

Lattice parameters (Å, degrees): 7.3558 7.3558 7.3558 31.26 31.26 31.26
Last column: nearest neighbours and their distance in Å.
Fractional coordinates of all 4 atoms:
Tm: 0.0000 0.0000 0.0000  6 P 2.77-2.86
Th: 0.8277 0.8277 0.8277  6 P 2.92-2.97
P: 0.4080 0.4080 0.4080  3 Tm 2.77, 3 Th 2.92
P: 0.5847 0.5847 0.5847  3 Tm 2.86, 3 Th 2.97

LaNb2Si4: optimized geometry, PBE-GGA.

Output
Mass density   5.69 g/cm3
Raw total energy   -50.120 eV per formula unit
Total magnetic moment   0.0 μB per cell
Raw formation energy   -0.480 eV per atom

Lattice parameters (Å, degrees): 9.6072 9.6072 9.6072 157.94 157.48 31.73
Last column: nearest neighbours and their distance in Å.
Fractional coordinates of all 7 atoms:
La: 0.0000 0.0000 0.0000  8 Si 3.07
Nb: 0.3047 0.8047 0.5000  7 Si 2.62-2.73
Nb: 0.6953 0.1953 0.5000  7 Si 2.62-2.73
Si: 0.1631 0.6631 0.5000  2 Si 2.36, 1 Nb 2.62
Si: 0.4139 0.4139 0.0000  2 Si 2.36
Si: 0.5861 0.5861 0.0000  2 Si 2.36
Si: 0.8369 0.3369 0.5000  2 Si 2.36, 1 Nb 2.62

KMoAu2: optimized geometry, PBE-GGA.

Output
Mass density   10.84 g/cm3
Raw total energy   -16.047 eV per formula unit
Total magnetic moment   0.4 μB per cell
Energy of formation from the pure elements   0.61 eV per atom

Lattice parameters (Å, degrees): 10.7710 10.7710 10.7710 15.83 15.83 15.83
Last column: nearest neighbours and their distance in Å.
Fractional coordinates of all 4 atoms:
K: 0.0000 0.0000 0.0000  6 K 2.97, 3 Au 3.30
Mo: 0.2352 0.2352 0.2352  3 Au 2.82, 6 Mo 2.97
Au: 0.4984 0.4984 0.4984  3 Mo 2.82, 9 Au 2.97-2.99
Au: 0.7551 0.7551 0.7551  9 Au 2.97-2.99, 3 K 3.30

Ac2Al3GaPd4: optimized geometry, PBE-GGA.

Output
Mass density   8.19 g/cm3
Raw total energy   -51.510 eV per formula unit
Total magnetic moment   0.0 μB per cell
Energy of formation from the pure elements   -0.83 eV per atom

Lattice parameters (Å, degrees): 4.5349 4.5349 10.1543 90.00 90.00 90.00
Last column: nearest neighbours and their distance in Å.
Fractional coordinates of all 10 atoms:
Ac: 0.0000 0.5000 0.2494  8 Pd 3.40-3.43, 7 Al 3.41-3.71, 2 Ga 3.41
Ac: 0.5000 0.0000 0.7506  8 Pd 3.40-3.43, 7 Al 3.41-3.71, 2 Ga 3.41
Al: 0.0000 0.5000 0.8842  5 Pd 2.55-2.58
Al: 0.5000 0.0000 0.1158  5 Pd 2.55-2.58
Al: 0.5000 0.5000 0.5000  4 Pd 2.63
Ga: 0.0000 0.0000 0.5000  4 Pd 2.63
Pd: 0.0000 0.0000 0.0000  4 Al 2.55
Pd: 0.0000 0.5000 0.6304  3 Al 2.58-2.63, 2 Ga 2.63
Pd: 0.5000 0.0000 0.3696  3 Al 2.58-2.63, 2 Ga 2.63
Pd: 0.5000 0.5000 0.0000  4 Al 2.55

LaDy3TmTh: optimized geometry, PBE-GGA.

Output
Mass density   8.77 g/cm3
Raw total energy   -30.407 eV per formula unit
Total magnetic moment   0.0 μB per cell
Energy of formation from the pure elements   0.04 eV per atom

Lattice parameters (Å, degrees): 8.0042 5.0632 10.1552 90.00 108.97 90.00
Last column: nearest neighbours and their distance in Å.
Fractional coordinates of all 12 atoms:
La: 0.1703 0.2500 0.2930  3 Tm 3.56, 8 Dy 3.60-3.65, 1 Th 3.61
La: 0.8297 0.7500 0.7070  3 Tm 3.56, 8 Dy 3.60-3.65, 1 Th 3.61
Dy: 0.1714 0.7500 0.5451  1 Th 3.54, 3 Tm 3.54-3.62, 5 Dy 3.56-3.66, 3 La 3.60-3.62
Dy: 0.1769 0.7500 0.0428  3 Th 3.50-3.53, 1 Tm 3.50, 5 Dy 3.58-3.73, 3 La 3.60-3.63
Dy: 0.1779 0.2500 0.7937  1 Tm 3.49, 3 Th 3.49-3.51, 6 Dy 3.56-3.73, 2 La 3.65
Dy: 0.8221 0.7500 0.2063  1 Tm 3.49, 3 Th 3.49-3.51, 6 Dy 3.56-3.73, 2 La 3.65
Dy: 0.8231 0.2500 0.9572  3 Th 3.50-3.53, 1 Tm 3.50, 5 Dy 3.58-3.73, 3 La 3.60-3.63
Dy: 0.8286 0.2500 0.4549  1 Th 3.54, 3 Tm 3.54-3.62, 5 Dy 3.56-3.66, 3 La 3.60-3.62
Tm: 0.4987 0.2500 0.6287  5 Dy 3.49-3.62, 3 La 3.56, 2 Th 3.58, 2 Tm 3.64
Tm: 0.5013 0.7500 0.3713  5 Dy 3.49-3.62, 3 La 3.56, 2 Th 3.58, 2 Tm 3.64
Th: 0.4983 0.7500 0.8781  7 Dy 3.49-3.54, 2 Th 3.54, 2 Tm 3.58, 1 La 3.61
Th: 0.5017 0.2500 0.1219  7 Dy 3.49-3.54, 2 Th 3.54, 2 Tm 3.58, 1 La 3.61

CaPt2Se: optimized geometry, PBE-GGA.

Output
Mass density   8.37 g/cm3
Raw total energy   -19.642 eV per formula unit
Total magnetic moment   0.0 μB per cell
Raw formation energy   -0.519 eV per atom

Lattice parameters (Å, degrees): 8.6125 8.6125 8.6125 145.68 145.68 49.32
Last column: nearest neighbours and their distance in Å.
Fractional coordinates of all 8 atoms:
Ca: 0.0000 0.0000 0.0000  4 Pt 3.06
Ca: 0.7500 0.2500 0.5000  4 Pt 3.06
Pt: 0.2635 0.6250 0.1385  2 Se 2.40
Pt: 0.3750 0.5135 0.6385  2 Se 2.40
Pt: 0.4865 0.1250 0.8615  2 Se 2.40
Pt: 0.8750 0.7365 0.3615  2 Se 2.40
Se: 0.2500 0.7500 0.5000  4 Pt 2.40
Se: 0.5000 0.5000 0.0000  4 Pt 2.40

LuSc2Tl: optimized geometry, PBE-GGA.

Output
Mass density   7.97 g/cm3
Raw total energy   -19.658 eV per formula unit
Total magnetic moment   1.6 μB per cell
Energy of formation from the pure elements   -0.03 eV per atom

Lattice parameters (Å, degrees): 5.1708 5.1708 5.1708 60.00 60.00 60.00
Last column: nearest neighbours and their distance in Å.
Fractional coordinates of all 4 atoms:
Lu: 0.0000 0.0000 0.0000  8 Sc 3.17
Sc: 0.2500 0.2500 0.2500  4 Tl 3.17, 4 Lu 3.17
Sc: 0.7500 0.7500 0.7500  4 Tl 3.17, 4 Lu 3.17
Tl: 0.5000 0.5000 0.5000  8 Sc 3.17

La2MnAlPd6: optimized geometry, PBE-GGA.

Output
Mass density   7.66 g/cm3
Raw total energy   -59.270 eV per formula unit
Total magnetic moment   4.2 μB per cell
Energy of formation from the pure elements   -0.53 eV per atom

Lattice parameters (Å, degrees): 5.7798 5.7798 8.1935 110.65 110.65 59.99
Last column: nearest neighbours and their distance in Å.
Fractional coordinates of all 10 atoms:
La: 0.2210 0.2210 0.1641  6 Pd 2.97-2.98
La: 0.7790 0.7790 0.8359  6 Pd 2.97-2.98
Mn: 0.5000 0.5000 0.0000  6 Pd 2.55
Al: 0.0000 0.0000 0.5000  6 Pd 2.46
Pd: 0.2481 0.2481 0.7400  1 Al 2.46, 1 Mn 2.55
Pd: 0.2488 0.7453 0.7408  1 Al 2.46, 1 Mn 2.55
Pd: 0.2547 0.7512 0.2592  1 Al 2.46, 1 Mn 2.55
Pd: 0.7453 0.2488 0.7408  1 Al 2.46, 1 Mn 2.55
Pd: 0.7512 0.2547 0.2592  1 Al 2.46, 1 Mn 2.55
Pd: 0.7519 0.7519 0.2600  1 Al 2.46, 1 Mn 2.55

La2Sm5In4: optimized geometry, PBE-GGA.

Output
Mass density   7.48 g/cm3
Raw total energy   -47.500 eV per formula unit
Total magnetic moment   0.0 μB per cell
Energy of formation from the pure elements   -0.28 eV per atom

Lattice parameters (Å, degrees): 8.7812 3.4996 10.8157 90.00 96.04 90.00
Last column: nearest neighbours and their distance in Å.
Fractional coordinates of all 11 atoms:
La: 0.0797 0.0000 0.1352  1 La 3.11, 2 Sm 3.29-3.36, 6 In 3.31-3.44
La: 0.9203 0.0000 0.8648  1 La 3.11, 2 Sm 3.29-3.36, 6 In 3.31-3.44
Sm: 0.1613 0.0000 0.6437  6 In 3.33-3.60, 1 La 3.36, 3 Sm 3.50
Sm: 0.4562 0.0000 0.1682  1 La 3.29, 4 In 3.29-3.51, 3 Sm 3.50-3.57
Sm: 0.5000 0.0000 0.5000  4 In 3.30, 6 Sm 3.50-3.57
Sm: 0.5438 0.0000 0.8318  1 La 3.29, 4 In 3.29-3.51, 3 Sm 3.50-3.57
Sm: 0.8387 0.0000 0.3563  6 In 3.33-3.60, 1 La 3.36, 3 Sm 3.50
In: 0.1987 0.5000 0.3865  6 Sm 3.30-3.60, 2 La 3.31, 2 In 3.50
In: 0.2573 0.5000 0.9201  6 Sm 3.29-3.51, 4 La 3.42-3.44, 2 In 3.50
In: 0.7427 0.5000 0.0799  6 Sm 3.29-3.51, 4 La 3.42-3.44, 2 In 3.50
In: 0.8013 0.5000 0.6135  6 Sm 3.30-3.60, 2 La 3.31, 2 In 3.50

AlGeRh4: optimized geometry, PBE-GGA.

Output
Mass density   8.94 g/cm3
Raw total energy   -39.957 eV per formula unit
Total magnetic moment   0.0 μB per cell
Energy of formation from the pure elements   -0.37 eV per atom

Lattice parameters (Å, degrees): 4.1199 4.1199 6.8778 107.60 107.60 60.25
Last column: nearest neighbours and their distance in Å.
Fractional coordinates of all 6 atoms:
Al: 0.0000 0.0000 0.0000  8 Rh 2.47-2.50
Ge: 0.5000 0.5000 0.5000  8 Rh 2.45-2.50
Rh: 0.1270 0.1270 0.3829  1 Al 2.47, 3 Ge 2.49-2.50
Rh: 0.3741 0.3741 0.1197  1 Ge 2.45, 3 Al 2.50
Rh: 0.6259 0.6259 0.8803  1 Ge 2.45, 3 Al 2.50
Rh: 0.8730 0.8730 0.6171  1 Al 2.47, 3 Ge 2.49-2.50

Ta2Ir: optimized geometry, PBE-GGA.

Output
Mass density   17.73 g/cm3
Raw total energy   -32.954 eV per formula unit
Total magnetic moment   0.0 μB per cell
Energy of formation from the pure elements   -0.13 eV per atom

Lattice parameters (Å, degrees): 2.9863 2.9863 6.7208 90.00 90.00 120.00
Last column: nearest neighbours and their distance in Å.
Fractional coordinates of all 3 atoms:
Ta: 0.3333 0.6667 0.3231  3 Ir 2.77, 9 Ta 2.94-2.99
Ta: 0.6667 0.3333 0.6769  3 Ir 2.77, 9 Ta 2.94-2.99
Ir: 0.0000 0.0000 0.0000  6 Ta 2.77, 6 Ir 2.99

Tb5Dy2In5: optimized geometry, PBE-GGA.

Output
Mass density   8.25 g/cm3
Raw total energy   -49.773 eV per formula unit
Total magnetic moment   0.0 μB per cell
Energy of formation from the pure elements   -0.31 eV per atom

Lattice parameters (Å, degrees): 6.4359 6.4359 11.9495 107.98 107.98 46.97
Last column: nearest neighbours and their distance in Å.
Fractional coordinates of all 12 atoms:
Tb: 0.0000 0.0000 0.0000  6 In 3.36-3.52, 2 Tb 3.54
Tb: 0.1338 0.1338 0.7760  5 In 3.16-3.34, 2 Tb 3.36-3.54, 2 Dy 3.46
Tb: 0.1528 0.1528 0.5016  3 In 3.13-3.17, 3 Tb 3.36-3.45
Tb: 0.8472 0.8472 0.4984  3 In 3.13-3.17, 3 Tb 3.36-3.45
Tb: 0.8662 0.8662 0.2240  5 In 3.16-3.34, 2 Tb 3.36-3.54, 2 Dy 3.46
Dy: 0.4277 0.4277 0.7419  4 In 3.17-3.28, 3 Tb 3.46-3.54
Dy: 0.5723 0.5723 0.2581  4 In 3.17-3.28, 3 Tb 3.46-3.54
In: 0.2351 0.2351 0.2750  4 Tb 3.16-3.52, 2 Dy 3.17, 2 In 3.37-3.41
In: 0.3317 0.3317 0.0361  3 In 3.15-3.41, 1 Dy 3.17, 5 Tb 3.20-3.36
In: 0.5000 0.5000 0.5000  4 Tb 3.13, 2 Dy 3.28, 2 In 3.37
In: 0.6683 0.6683 0.9639  3 In 3.15-3.41, 1 Dy 3.17, 5 Tb 3.20-3.36
In: 0.7649 0.7649 0.7250  4 Tb 3.16-3.52, 2 Dy 3.17, 2 In 3.37-3.41